# K3Na12Au PBE optimized geometry
data_K3Na12Au
_cell_length_a 5.5175
_cell_length_b 5.5175
_cell_length_c 20.5599
_cell_angle_alpha 90.00
_cell_angle_beta 90.00
_cell_angle_gamma 90.00
_symmetry_space_group_name_H-M 'P 4/m m m'
_symmetry_Int_Tables_number 123
_symmetry_space_group_name_Hall '-P 4 2'
loop_
_atom_site_label
_atom_site_type_symbol
_atom_site_fract_x
_atom_site_fract_y
_atom_site_fract_z
_atom_site_occupancy
K1 K 0.0000 0.0000 0.0000 1
K2 K 0.0000 0.0000 0.2822 1
Na1 Na 0.0000 0.5000 0.1395 1
Na2 Na 0.0000 0.5000 0.4147 1
Na3 Na 0.5000 0.5000 0.0000 1
Na4 Na 0.5000 0.5000 0.2724 1
Na5 Na 0.5000 0.5000 0.5000 1
Au1 Au 0.0000 0.0000 0.5000 1
# N(E_F) = 0.419 states/eV/atom
# DFT total energy = -1.411 eV per atom
# Spin magnetization = 0.00 μB/atom



# NaAc2In3 PBE optimized geometry
data_NaAc2In3
_cell_length_a 7.9700
_cell_length_b 10.4991
_cell_length_c 18.2468
_cell_angle_alpha 90.00
_cell_angle_beta 90.00
_cell_angle_gamma 90.00
_symmetry_space_group_name_H-M 'F m m m'
_symmetry_Int_Tables_number 69
_symmetry_space_group_name_Hall '-F 2 2'
loop_
_atom_site_label
_atom_site_type_symbol
_atom_site_fract_x
_atom_site_fract_y
_atom_site_fract_z
_atom_site_occupancy
Na1 Na 0.0000 0.0000 0.1680 1
Ac1 Ac 0.2460 0.0000 0.0000 1
Ac2 Ac 0.2500 0.2500 0.2500 1
In1 In 0.0000 0.0000 0.3352 1
In2 In 0.0000 0.2454 0.4168 1
# N(E_F) = 0.721 states/eV/atom
# DFT total energy = -3.286 eV per atom
# Spin magnetization = 0.00 μB/atom



# CsSc3Se PBE optimized geometry
data_CsSc3Se
_cell_length_a 5.3435
_cell_length_b 5.3435
_cell_length_c 5.3435
_cell_angle_alpha 90.00
_cell_angle_beta 90.00
_cell_angle_gamma 90.00
_symmetry_space_group_name_H-M 'P m -3 m'
_symmetry_Int_Tables_number 221
_symmetry_space_group_name_Hall '-P 4 2 3'
loop_
_atom_site_label
_atom_site_type_symbol
_atom_site_fract_x
_atom_site_fract_y
_atom_site_fract_z
_atom_site_occupancy
Cs1 Cs 0.0000 0.0000 0.0000 1
Sc1 Sc 0.0000 0.5000 0.5000 1
Se1 Se 0.5000 0.5000 0.5000 1
# Energy relative to the lowest polymorph listed for this composition = 0.000 eV per atom
# N(E_F) = 1.698 states/eV/atom
# DFT total energy = -4.553 eV per atom
# Spin magnetization = 0.52 μB/atom